# 1
First-principles (PBE) data for an optimized crystal structure of Fe4IrRu, as listed in Alexandria.

Geometry as POSCAR:
```
Fe4IrRu
1.0
0.000 3.312 3.312
3.312 0.000 3.312
3.312 3.312 0.000
Ir Fe Ru
1 4 1
Direct
0.750 0.750 0.750
0.375 0.875 0.375
0.875 0.375 0.375
0.375 0.375 0.875
0.375 0.375 0.375
0.000 0.000 0.000
```

Output
As for the space group: F-43m (216). The value obtained for the calculated formation energy is 0.084 eV per atom. As for the total magnetization: 7.218 μB/cell.


# 2
First-principles (PBE) data for an optimized crystal structure of Fe2IrRu, as listed in Alexandria.

Geometry as POSCAR:
```
Fe2IrRu
1.0
5.164 0.000 0.000
0.000 5.164 0.000
2.582 2.582 5.294
Fe Ru Ir
4 2 2
Direct
0.128 0.625 0.250
0.622 0.125 0.250
0.375 0.378 0.750
0.875 0.872 0.750
0.500 0.500 0.000
0.250 0.750 0.500
0.750 0.250 0.500
0.000 0.000 0.000
```

Output
As for the space group: I-42d (122). The value obtained for the calculated formation energy is 1.086 eV per atom. As for the total magnetization: 0.000 μB/cell.


# 3
First-principles (PBE) data for an optimized crystal structure of Fe2IrRu, as listed in Alexandria.

Geometry as POSCAR:
```
Fe2IrRu
1.0
2.666 0.000 0.000
0.000 3.643 0.000
0.000 0.000 5.320
Fe Ir Ru
2 1 1
Direct
0.000 0.000 0.998
0.000 0.000 0.502
0.500 0.500 0.250
0.500 0.500 0.750
```

Output
As for the space group: Pmmm (47). The value obtained for the calculated formation energy is 0.059 eV per atom. As for the total magnetization: 3.977 μB/cell.


# 4
First-principles (PBE) data for an optimized crystal structure of FeIr12Ru3, as listed in Alexandria.

Geometry as POSCAR:
```
FeIr12Ru3
1.0
-3.595 -0.943 -1.010
1.371 -2.785 -2.279
-0.689 -9.948 11.741
Ir Fe Ru
12 1 3
Direct
0.000 0.500 0.625
0.500 0.000 0.876
0.500 0.000 0.375
0.500 0.500 0.250
0.000 0.500 0.876
0.500 0.500 0.500
0.500 0.000 0.124
0.000 0.500 0.375
0.000 0.500 0.124
0.500 0.500 0.750
0.500 0.000 0.625
0.500 0.500 0.000
0.000 0.000 0.000
0.000 0.000 0.500
0.000 0.000 0.247
0.000 0.000 0.753
```

Output
As for the space group: P4/mmm (123). The value obtained for the calculated formation energy is -0.034 eV per atom. As for the total magnetization: 2.226 μB/cell.


# 5
First-principles (PBE) data for an optimized crystal structure of FeIr2Ru, as listed in Alexandria.

Geometry as POSCAR:
```
FeIr2Ru
1.0
2.712 0.000 0.000
0.000 2.712 0.000
0.000 0.000 7.457
Ir Fe Ru
2 1 1
Direct
0.000 0.000 0.989
0.500 0.500 0.254
0.500 0.500 0.750
0.000 0.000 0.508
```

Output
As for the space group: P4mm (99). The value obtained for the calculated formation energy is 0.025 eV per atom. The value obtained for the polymorph energy (0 for the lowest one) is 64 meV/atom. As for the total magnetization: 2.133 μB/cell.


# 6
First-principles (PBE) data for an optimized crystal structure of Fe2IrRu, as listed in Alexandria.

Geometry as POSCAR:
```
Fe2IrRu
1.0
-3.419 0.398 3.065
-4.089 -0.844 -1.951
3.992 -2.302 0.037
Ru Fe Ir
1 2 1
Direct
0.750 0.250 0.500
0.250 0.750 0.500
0.000 0.000 0.000
0.500 0.500 0.000
```

Output
As for the space group: I-4m2 (119). The value obtained for the calculated formation energy is 0.015 eV per atom. As for the total magnetization: 4.096 μB/cell.


# 7
First-principles (PBE) data for an optimized crystal structure of FeIr3Ru, as listed in Alexandria.

Geometry as POSCAR:
```
FeIr3Ru
1.0
-1.038 -2.184 -1.167
4.962 1.752 -4.602
5.528 -4.829 4.122
Ru Ir Fe
2 6 2
Direct
0.054 0.608 0.750
0.946 0.392 0.250
0.165 0.830 0.990
0.396 0.292 0.750
0.835 0.170 0.490
0.835 0.170 0.010
0.604 0.708 0.250
0.165 0.830 0.510
0.727 0.954 0.750
0.273 0.046 0.250
```

Output
As for the space group: Cmcm (63). The value obtained for the calculated formation energy is 0.316 eV per atom. The value obtained for the polymorph energy (0 for the lowest one) is 347 meV/atom. As for the total magnetization: 4.339 μB/cell.


# 8
First-principles (PBE) data for an optimized crystal structure of Fe2IrRu, as listed in Alexandria.

Geometry as POSCAR:
```
Fe2IrRu
1.0
-2.079 -1.565 0.498
1.884 -1.065 -1.529
3.950 -3.026 6.976
Ir Fe Ru
1 2 1
Direct
0.500 0.500 0.250
0.000 0.000 0.503
0.000 0.000 0.997
0.500 0.500 0.750
```

Output
As for the space group: Cmmm (65). The value obtained for the calculated formation energy is 0.190 eV per atom. As for the total magnetization: 6.755 μB/cell.


# 9
First-principles (PBE) data for an optimized crystal structure of Fe2IrRu, as listed in Alexandria.

Geometry as POSCAR:
```
Fe2IrRu
1.0
-0.453 -0.423 -2.591
-0.850 -2.465 0.551
-6.802 2.520 0.778
Ir Fe Ru
1 2 1
Direct
0.500 0.500 0.500
0.000 0.000 0.248
0.000 0.000 0.752
0.500 0.500 0.000
```

Output
As for the space group: P4/mmm (123). The value obtained for the calculated formation energy is 0.066 eV per atom. As for the total magnetization: 4.160 μB/cell.


# 10
First-principles (PBE) data for an optimized crystal structure of FeIr4Ru, as listed in Alexandria.

Geometry as POSCAR:
```
FeIr4Ru
1.0
1.682 -1.331 4.645
0.514 3.550 3.649
-3.201 0.049 3.991
Fe Ir Ru
1 4 1
Direct
0.000 0.000 0.000
0.625 0.625 0.625
0.125 0.625 0.625
0.625 0.125 0.625
0.625 0.625 0.125
0.250 0.250 0.250
```

Output
As for the space group: F-43m (216). The value obtained for the calculated formation energy is 0.575 eV per atom. The value obtained for the polymorph energy (0 for the lowest one) is 601 meV/atom. As for the total magnetization: 1.318 μB/cell.


# 11
First-principles (PBE) data for an optimized crystal structure of Fe2IrRu, as listed in Alexandria.

Geometry as POSCAR:
```
Fe2IrRu
1.0
4.511 0.003 0.000
-1.382 4.294 0.000
0.000 0.000 2.662
Ir Fe Ru
1 2 1
Direct
0.500 0.000 0.500
0.000 0.000 0.000
0.500 0.500 0.000
0.000 0.500 0.500
```

Output
As for the space group: Cmmm (65). The value obtained for the calculated formation energy is 0.059 eV per atom. As for the total magnetization: 3.920 μB/cell.


# 12
First-principles (PBE) data for an optimized crystal structure of Fe2Ir3Ru3, as listed in Alexandria.

Geometry as POSCAR:
```
Fe2Ir3Ru3
1.0
-0.743 2.492 -0.775
-5.433 -2.633 -3.261
-0.528 1.888 6.576
Ir Ru Fe
3 3 2
Direct
0.500 0.611 0.611
0.500 0.389 0.000
0.500 0.000 0.389
0.000 0.000 0.744
0.000 0.744 0.000
0.000 0.256 0.256
0.000 0.333 0.667
0.000 0.667 0.333
```

Output
As for the space group: P-62m (189). The value obtained for the calculated formation energy is 0.118 eV per atom. As for the total magnetization: 3.460 μB/cell.